Entry 1:
# AcAgSb

A relaxed structure of AcAgSb (PBE, the Open Quantum Materials Database).

DFT total energy = -4.2482 eV per atom
density = 8.18 Mg/m³
energy above the most stable polymorph in this dataset = 0.000 eV/atom
crystal system = cubic

Cell: 5.0808 5.0808 5.0808 Å, 60.00 60.00 60.00°
With the nearest neighbours (Å) after each atom.
Fractional coordinates of all 3 atoms:
Ac 0.0000 0.0000 0.0000  4 Ag 3.11
Ag 0.2500 0.2500 0.2500  4 Ac 3.11, 4 Sb 3.11
Sb 0.5000 0.5000 0.5000  4 Ag 3.11

***

Entry 2:
# Hf2PtAu

A relaxed structure of Hf2PtAu (PBE, the Open Quantum Materials Database).

DFT total energy = -7.7257 eV per atom
density = 17.21 Mg/m³
crystal system = cubic

Cell: 4.6759 4.6759 4.6759 Å, 60.00 60.00 60.00°
With the nearest neighbours (Å) after each atom.
Fractional coordinates of all 4 atoms:
Hf 0.0000 0.0000 0.0000  4 Au 2.86, 4 Hf 2.86
Hf 0.2500 0.2500 0.2500  4 Hf 2.86, 4 Pt 2.86
Pt 0.5000 0.5000 0.5000  4 Hf 2.86, 4 Au 2.86
Au 0.7500 0.7500 0.7500  4 Hf 2.86, 4 Pt 2.86

***

Entry 3:
# NdDyInCo2

A relaxed structure of NdDyInCo2 (PBE, the Open Quantum Materials Database).

DFT total energy = -5.5588 eV per atom
density = 8.33 Mg/m³
crystal system = orthorhombic

Cell: 3.9746 7.2774 7.2774 Å, 30.71 90.00 90.00°
With the nearest neighbours (Å) after each atom.
Fractional coordinates of all 5 atoms:
Nd 0.0000 0.0000 0.0000  6 Co 2.96-2.99
Dy 0.0000 0.2742 0.2742  6 Co 2.91-2.92
In 0.5000 0.6400 0.6400  2 Co 2.81-3.01
Co 0.5000 0.4255 0.4255  2 Co 2.27
Co 0.5000 0.8404 0.8404  2 Co 2.27

***

Entry 4:
# NdSiPO

A relaxed structure of NdSiPO (PBE, the Open Quantum Materials Database).

DFT total energy = -6.6034 eV per atom
density = 5.31 Mg/m³
energy above the most stable polymorph in this dataset = 0.000 eV/atom
crystal system = tetragonal

Cell: 4.3873 4.3873 7.1203 Å, 90.00 90.00 90.00°
With the nearest neighbours (Å) after each atom.
Fractional coordinates of all 8 atoms:
Nd 0.2500 0.2500 0.1414  4 O 2.41
Nd 0.7500 0.7500 0.8586  4 O 2.41
Si 0.2500 0.7500 0.5000  4 P 2.34
Si 0.7500 0.2500 0.5000  4 P 2.34
P 0.2500 0.2500 0.6140  4 Si 2.34
P 0.7500 0.7500 0.3860  4 Si 2.34
O 0.2500 0.7500 0.0000  4 Nd 2.41
O 0.7500 0.2500 0.0000  4 Nd 2.41

***

Entry 5:
# MgTc

A relaxed structure of MgTc (PBE, the Open Quantum Materials Database).

DFT total energy = -5.7114 eV per atom
density = 6.28 Mg/m³
energy above the most stable polymorph in this dataset = 0.267 eV/atom
crystal system = orthorhombic

Cell: 4.6418 5.4768 5.0872 Å, 90.00 90.00 90.00°
With the nearest neighbours (Å) after each atom.
Fractional coordinates of all 8 atoms:
Mg 0.0000 0.0000 0.0000  6 Tc 2.74-2.78, 6 Mg 2.80-3.06
Mg 0.0000 0.2662 0.4704  2 Mg 2.56-2.80, 4 Tc 2.78-2.86
Mg 0.0000 0.7338 0.4704  2 Mg 2.56-2.80, 4 Tc 2.78-2.86
Mg 0.5000 0.0000 0.6712  6 Tc 2.75-2.84, 6 Mg 2.86-2.92
Tc 0.0000 0.5000 0.9679  2 Tc 2.62, 6 Mg 2.74-2.86
Tc 0.5000 0.2275 0.1726  2 Tc 2.49-2.70, 4 Mg 2.78
Tc 0.5000 0.5000 0.7298  4 Tc 2.62-2.70, 2 Mg 2.75
Tc 0.5000 0.7725 0.1726  2 Tc 2.49-2.70, 4 Mg 2.78

***

Entry 6:
# Ta4TlCuC2

A relaxed structure of Ta4TlCuC2 (PBE, the Open Quantum Materials Database).

DFT total energy = -9.2400 eV per atom
density = 14.06 Mg/m³
crystal system = hexagonal

Cell: 3.1606 3.1606 13.8639 Å, 90.00 90.00 120.00°
With the nearest neighbours (Å) after each atom.
Fractional coordinates of all 8 atoms:
Ta 0.0000 0.0000 0.1482  3 C 2.18
Ta 0.0000 0.0000 0.8518  3 C 2.18
Ta 0.3333 0.6667 0.3221  3 C 2.19
Ta 0.3333 0.6667 0.6779  3 C 2.19
Tl 0.0000 0.0000 0.5000  6 Ta 3.07, 6 Tl 3.16
Cu 0.3333 0.6667 0.0000  6 Ta 2.75
C 0.6667 0.3333 0.2345  6 Ta 2.18-2.19
C 0.6667 0.3333 0.7655  6 Ta 2.18-2.19

***

Entry 7:
# LiGaPt2

A relaxed structure of LiGaPt2 (PBE, the Open Quantum Materials Database).

DFT total energy = -4.9719 eV per atom
density = 13.79 Mg/m³
crystal system = orthorhombic

Cell: 5.2980 5.2980 5.2980 Å, 114.01 100.52 114.23°
With the nearest neighbours (Å) after each atom.
Fractional coordinates of all 8 atoms:
Li 0.4999 0.2499 0.2500  8 Pt 2.65, 2 Ga 2.87-2.88, 2 Li 2.89
Li 0.5001 0.7501 0.7500  8 Pt 2.65, 2 Ga 2.87-2.88, 2 Li 2.89
Ga 0.0007 0.2507 0.7500  8 Pt 2.65, 2 Li 2.87-2.88, 2 Ga 2.89
Ga 0.9993 0.7493 0.2500  8 Pt 2.65, 2 Li 2.87-2.88, 2 Ga 2.89
Pt 0.0000 0.2498 0.2498  4 Ga 2.65, 4 Li 2.65, 4 Pt 2.88-2.89
Pt 0.0000 0.7502 0.7502  4 Ga 2.65, 4 Li 2.65, 4 Pt 2.88-2.89
Pt 0.5000 0.2498 0.7498  4 Ga 2.65, 4 Li 2.65, 4 Pt 2.88-2.89
Pt 0.5000 0.7502 0.2502  4 Ga 2.65, 4 Li 2.65, 4 Pt 2.88-2.89

***

Entry 8:
# TaGePt2

A relaxed structure of TaGePt2 (PBE, the Open Quantum Materials Database).

DFT total energy = -7.4437 eV per atom
density = 16.51 Mg/m³
crystal system = cubic

Cell: 4.5072 4.5072 4.5072 Å, 60.00 60.00 60.00°
With the nearest neighbours (Å) after each atom.
Fractional coordinates of all 4 atoms:
Ta 0.0000 0.0000 0.0000  4 Ge 2.76, 4 Pt 2.76
Ge 0.7500 0.7500 0.7500  4 Pt 2.76, 4 Ta 2.76
Pt 0.2500 0.2500 0.2500  4 Pt 2.76, 4 Ta 2.76
Pt 0.5000 0.5000 0.5000  4 Ge 2.76, 4 Pt 2.76

***

Entry 9:
# TbLuSi4Ni2

A relaxed structure of TbLuSi4Ni2 (PBE, the Open Quantum Materials Database).

DFT total energy = -6.0649 eV per atom
density = 7.30 Mg/m³
crystal system = orthorhombic

Cell: 3.9496 8.4347 8.4347 Å, 27.13 90.00 90.00°
With the nearest neighbours (Å) after each atom.
Fractional coordinates of all 8 atoms:
Tb 0.0000 0.0000 0.0000  10 Si 3.00-3.11, 4 Ni 3.04
Lu 0.5000 0.2108 0.2108  10 Si 2.99-3.09, 4 Ni 3.02
Si 0.0000 0.3541 0.3541  4 Ni 2.31
Si 0.0000 0.6453 0.6453  1 Ni 2.23, 2 Si 2.37
Si 0.5000 0.5660 0.5660  1 Ni 2.27, 2 Si 2.37
Si 0.5000 0.8539 0.8539  4 Ni 2.31-2.32
Ni 0.0000 0.7813 0.7813  5 Si 2.23-2.31
Ni 0.5000 0.4275 0.4275  5 Si 2.27-2.32

***

Entry 10:
# NdTmB4

A relaxed structure of NdTmB4 (PBE, the Open Quantum Materials Database).

DFT total energy = -6.4637 eV per atom
density = 7.94 Mg/m³
energy above the most stable polymorph in this dataset = 0.000 eV/atom
crystal system = hexagonal

Cell: 3.2944 3.2944 7.9324 Å, 90.00 90.00 120.00°
With the nearest neighbours (Å) after each atom.
Fractional coordinates of all 6 atoms:
Nd 0.0000 0.0000 0.0000  12 B 2.84
Tm 0.0000 0.0000 0.5000  12 B 2.66
B 0.3333 0.6667 0.2658  3 B 1.90
B 0.3333 0.6667 0.7342  3 B 1.90
B 0.6667 0.3333 0.2658  3 B 1.90
B 0.6667 0.3333 0.7342  3 B 1.90

***

Entry 11:
# CuBiIr

A relaxed structure of CuBiIr (PBE, the Open Quantum Materials Database).

DFT total energy = -5.0655 eV per atom
density = 13.35 Mg/m³
crystal system = cubic

Cell: 4.3400 4.3400 4.3400 Å, 60.00 60.00 60.00°
With the nearest neighbours (Å) after each atom.
Fractional coordinates of all 3 atoms:
Cu 0.0000 0.0000 0.0000  4 Bi 2.66, 4 Ir 2.66
Bi 0.7500 0.7500 0.7500  4 Cu 2.66
Ir 0.2500 0.2500 0.2500  4 Cu 2.66

***

Entry 12:
# SrScAl4Pd2

A relaxed structure of SrScAl4Pd2 (PBE, the Open Quantum Materials Database).

DFT total energy = -4.7919 eV per atom
density = 4.87 Mg/m³
crystal system = orthorhombic

Cell: 7.1789 5.4759 5.4759 Å, 45.95 90.00 90.00°
With the nearest neighbours (Å) after each atom.
Fractional coordinates of all 8 atoms:
Sr 0.0000 0.0000 0.0000  3 Pd 2.83-3.07
Sc 0.5000 0.8658 0.8658  3 Pd 2.82-3.08, 6 Al 3.10-3.15
Al 0.2073 0.2882 0.2882  3 Pd 2.55-2.70
Al 0.3137 0.5831 0.5831  3 Pd 2.60-2.64, 1 Al 2.67
Al 0.6863 0.5831 0.5831  3 Pd 2.60-2.64, 1 Al 2.67
Al 0.7927 0.2882 0.2882  3 Pd 2.55-2.70
Pd 0.0000 0.7191 0.7191  6 Al 2.64-2.70, 1 Sr 2.83
Pd 0.5000 0.1453 0.1453  6 Al 2.55-2.60, 1 Sc 2.82